The following is a DFT calculation (PBE) of a relaxed structure of VSb2TeRh.

Cell: 5.0368 5.0368 5.3274 Å, 90.00 90.00 90.00°
Atoms (fractional coordinates):
V (0.0000, 0.0000, 0.0000)
Sb (0.0000, 0.5000, 0.5000)
Sb (0.5000, 0.0000, 0.5000)
Te (0.5000, 0.5000, 0.0000)
Rh (0.5000, 0.5000, 0.5000)

Calculated values
* calculated total energy: -4.7078 eV/atom
* total magnetic moment: 0.08 Bohr magnetons per cell
* E_form (uncorrected): 0.863 eV per atom